(i)
Computed, not measured: crystalline Pd2AuC2 at its relaxed geometry at the PBE level of DFT.

Values from the calculation:
- Fermi-level density of states: 2.1 states/eV/f.u.

abc: 3.2572 3.2572 6.6209
angles: 75.76 75.76 90.00
Closest atoms and distances in Å follow each position.
Element x y z (fractional)
Au  0.0000  0.0000  0.0000  8 Pd 2.89
C  0.2500  0.7500  0.5000  4 Pd 2.13, 4 C 2.30
C  0.7500  0.2500  0.5000  4 Pd 2.13, 4 C 2.30
Pd  0.6400  0.6400  0.7200  4 C 2.13
Pd  0.3600  0.3600  0.2800  4 C 2.13

(ii)
Computed, not measured: crystalline Pd2AuC2 at its relaxed geometry at the PBE level of DFT.

Values from the calculation:
- Fermi-level density of states: 3.1 states/eV/f.u.

abc: 7.1511 7.1511 2.8882
angles: 90.00 90.00 90.00
Closest atoms and distances in Å follow each position.
Element x y z (fractional)
C  0.4330  0.0670  0.5000  1 C 1.35
C  0.5670  0.9330  0.5000  1 C 1.35
C  0.0670  0.5670  0.5000  1 C 1.35
C  0.9330  0.4330  0.5000  1 C 1.35
Pd  0.6629  0.1629  0.0000  4 C 2.29
Pd  0.1629  0.3371  0.0000  4 C 2.29
Pd  0.3371  0.8371  0.0000  4 C 2.29
Pd  0.8371  0.6629  0.0000  4 C 2.29
Au  0.5000  0.5000  0.0000  4 Pd 2.68, 2 Au 2.89
Au  0.0000  0.0000  0.0000  4 Pd 2.68, 2 Au 2.89

Energy ordering: (i) at the bottom, the next structure 0.083 eV/atom above.

(i)
Computed, not measured: crystalline ReAu2C2 at its relaxed geometry at the PBE level of DFT.

Values from the calculation:
- Fermi-level density of states: 2.5 states/eV/f.u.

abc: 5.8410 5.8410 4.2889
angles: 90.00 90.00 90.00
Closest atoms and distances in Å follow each position.
Element x y z (fractional)
C  0.7506  0.7494  0.0000  2 Re 2.07, 2 Au 2.14
C  0.2494  0.2506  0.0000  2 Re 2.07, 2 Au 2.14
C  0.2506  0.7506  0.0000  2 Re 2.07, 2 Au 2.14
C  0.7494  0.2494  0.0000  2 Re 2.07, 2 Au 2.14
Au  0.7508  0.7492  0.5000  2 C 2.14
Au  0.2508  0.7508  0.5000  2 C 2.14
Au  0.2492  0.2508  0.5000  2 C 2.14
Au  0.7492  0.2492  0.5000  2 C 2.14
Re  0.0000  0.0000  0.0000  4 C 2.07
Re  0.5000  0.5000  0.0000  4 C 2.07

(ii)
Computed, not measured: crystalline ReAu2C2 at its relaxed geometry at the PBE level of DFT.

Values from the calculation:
- Fermi-level density of states: 2.1 states/eV/f.u.

abc: 4.0338 4.0338 5.0769
angles: 66.59 66.59 90.00
Closest atoms and distances in Å follow each position.
Element x y z (fractional)
Au  0.7500  0.2500  0.5000  4 C 2.47
Au  0.2500  0.7500  0.5000  4 C 2.47
C  0.5806  0.5806  0.8388  1 C 1.35
C  0.4194  0.4194  0.1612  1 C 1.35
Re  0.0000  0.0000  0.0000  8 Au 2.91, 8 C 2.93

Energy ordering: (i) at the bottom, the next structure 0.843 eV/atom above.

(i)
Computed, not measured: crystalline RhAuC3 at its relaxed geometry at the PBE level of DFT.

Values from the calculation:
- Fermi-level density of states: 2.2 states/eV/f.u.

abc: 4.0594 4.0594 4.0594
angles: 90.00 90.00 90.00
Closest atoms and distances in Å follow each position.
Element x y z (fractional)
C  0.5000  0.0000  0.0000  2 Au 2.03
C  0.0000  0.0000  0.5000  2 Au 2.03
C  0.0000  0.5000  0.0000  2 Au 2.03
Rh  0.5000  0.5000  0.5000  12 C 2.87
Au  0.0000  0.0000  0.0000  6 C 2.03

(ii)
Computed, not measured: crystalline RhAuC3 at its relaxed geometry at the PBE level of DFT.

Values from the calculation:
- Fermi-level density of states: 4.3 states/eV/f.u.

abc: 4.0143 4.0143 4.0143
angles: 90.00 90.00 90.00
Closest atoms and distances in Å follow each position.
Element x y z (fractional)
Rh  0.0000  0.0000  0.0000  6 C 2.01
C  0.0000  0.5000  0.0000  2 Rh 2.01
C  0.5000  0.0000  0.0000  2 Rh 2.01
C  0.0000  0.0000  0.5000  2 Rh 2.01
Au  0.5000  0.5000  0.5000  12 C 2.84

Energy ordering: (ii) at the bottom, the next structure 0.767 eV/atom above.

(i)
Computed, not measured: crystalline RhAu3C at its relaxed geometry at the PBE level of DFT.

Values from the calculation:
- Fermi-level density of states: 3.7 states/eV/f.u.

abc: 4.2912 4.2912 4.2912
angles: 90.00 90.00 90.00
Closest atoms and distances in Å follow each position.
Element x y z (fractional)
C  0.0000  0.0000  0.0000  6 Au 2.15
Au  0.5000  0.0000  0.0000  2 C 2.15
Au  0.0000  0.5000  0.0000  2 C 2.15
Au  0.0000  0.0000  0.5000  2 C 2.15
Rh  0.5000  0.5000  0.5000  12 Au 3.03

(ii)
Computed, not measured: crystalline RhAu3C at its relaxed geometry at the PBE level of DFT.

Values from the calculation:
- Fermi-level density of states: 9.0 states/eV/f.u.

abc: 4.9908 4.9908 4.9908
angles: 90.00 90.00 90.00
Closest atoms and distances in Å follow each position.
Element x y z (fractional)
C  0.5000  0.5000  0.5000  12 Au 3.53
Rh  0.0000  0.0000  0.0000  6 Au 2.50
Au  0.0000  0.5000  0.0000  2 Rh 2.50
Au  0.5000  0.0000  0.0000  2 Rh 2.50
Au  0.0000  0.0000  0.5000  2 Rh 2.50

Energy ordering: (i) at the bottom, the next structure 1.544 eV/atom above.

(i)
Computed, not measured: crystalline Rh3AuC at its relaxed geometry at the PBE level of DFT.

Values from the calculation:
- Fermi-level density of states: 18.9 states/eV/f.u.

abc: 4.8931 4.8931 4.8931
angles: 90.00 90.00 90.00
Closest atoms and distances in Å follow each position.
Element x y z (fractional)
Rh  0.0000  0.5000  0.0000  2 Au 2.45
Rh  0.5000  0.0000  0.0000  2 Au 2.45
Rh  0.0000  0.0000  0.5000  2 Au 2.45
Au  0.0000  0.0000  0.0000  6 Rh 2.45
C  0.5000  0.5000  0.5000  12 Rh 3.46

(ii)
Computed, not measured: crystalline Rh3AuC at its relaxed geometry at the PBE level of DFT.

Values from the calculation:
- Fermi-level density of states: 9.6 states/eV/f.u.

abc: 4.1051 4.1051 4.1051
angles: 90.00 90.00 90.00
Closest atoms and distances in Å follow each position.
Element x y z (fractional)
Au  0.5000  0.5000  0.5000  12 Rh 2.90
Rh  0.0000  0.5000  0.0000  2 C 2.05
Rh  0.0000  0.0000  0.5000  2 C 2.05
Rh  0.5000  0.0000  0.0000  2 C 2.05
C  0.0000  0.0000  0.0000  6 Rh 2.05

Energy ordering: (ii) at the bottom, the next structure 2.784 eV/atom above.

(i)
Computed, not measured: crystalline RuAu3C at its relaxed geometry at the PBE level of DFT.

Values from the calculation:
- Fermi-level density of states: 14.8 states/eV/f.u.

abc: 4.9810 4.9810 4.9810
angles: 90.00 90.00 90.00
Closest atoms and distances in Å follow each position.
Element x y z (fractional)
Au  0.0000  0.0000  0.5000  2 Ru 2.49
Au  0.5000  0.0000  0.0000  2 Ru 2.49
Au  0.0000  0.5000  0.0000  2 Ru 2.49
C  0.5000  0.5000  0.5000  12 Au 3.52
Ru  0.0000  0.0000  0.0000  6 Au 2.49

(ii)
Computed, not measured: crystalline RuAu3C at its relaxed geometry at the PBE level of DFT.

Values from the calculation:
- Fermi-level density of states: 3.7 states/eV/f.u.

abc: 4.3047 4.3047 4.3047
angles: 90.00 90.00 90.00
Closest atoms and distances in Å follow each position.
Element x y z (fractional)
Au  0.5000  0.0000  0.0000  2 C 2.15
Au  0.0000  0.5000  0.0000  2 C 2.15
Au  0.0000  0.0000  0.5000  2 C 2.15
C  0.0000  0.0000  0.0000  6 Au 2.15
Ru  0.5000  0.5000  0.5000  12 Au 3.04

Energy ordering: (ii) at the bottom, the next structure 1.501 eV/atom above.